# SrMgSe (meta-GGA SCAN, single point on PBEsol structure)
data_SrMgSe
_cell_length_a 3.6545
_cell_length_b 3.6545
_cell_length_c 6.5495
_cell_angle_alpha 106.24
_cell_angle_beta 106.24
_cell_angle_gamma 89.87
_symmetry_space_group_name_H-M 'P 1'
_symmetry_Int_Tables_number 1
loop_
_symmetry_equiv_pos_as_xyz
'x,y,z'
loop_
_atom_site_label
_atom_site_type_symbol
_atom_site_fract_x
_atom_site_fract_y
_atom_site_fract_z
Sr1 Sr 0.6884 0.6884 0.3769
Mg1 Mg 0.9673 0.9673 0.9346
Se1 Se 0.3443 0.3443 0.6886
# - Calculated total energy: -50.3 eV/f.u.
# - V: 80.4 Å³ per cell
# - ΔE_f (raw): -0.976 eV per atom
# - E above lowest polymorph: 0.0000 eV/atom
# - Mass density: 3.94 g cm⁻³